! Na2BiI6 | Alexandria | PBE | relaxed; values from VASP
&SYSTEM
  ibrav = 0, nat = 18, ntyp = 3
/
ATOMIC_SPECIES
I 126.90 I.upf
Na 22.99 Na.upf
Bi 208.98 Bi.upf
CELL_PARAMETERS angstrom
7.5139 0.0000 0.0000
0.0000 7.5139 0.0000
0.0000 0.0000 14.1614
ATOMIC_POSITIONS crystal
I 0.6970 0.6970 0.3386
Na 0.5000 0.5000 0.1679
Bi 0.5000 0.5000 0.5000
I 0.2081 0.7919 0.5000
I 0.3030 0.3030 0.3386
Na 0.0000 0.0000 0.6679
I 0.8030 0.1970 0.8386
Na 0.5000 0.5000 0.8321
I 0.2919 0.2919 0.0000
I 0.3030 0.3030 0.6614
I 0.1970 0.8030 0.1614
I 0.7919 0.2081 0.5000
Bi 0.0000 0.0000 0.0000
Na 0.0000 0.0000 0.3321
I 0.1970 0.8030 0.8386
I 0.6970 0.6970 0.6614
I 0.7081 0.7081 0.0000
I 0.8030 0.1970 0.1614
! raw formation energy = -0.64 eV per atom
! size of the total moment = 0.0003 μB per atom

---

! NaBiI6 | Alexandria | PBE | relaxed; values from VASP
&SYSTEM
  ibrav = 0, nat = 8, ntyp = 3
/
ATOMIC_SPECIES
I 126.90 I.upf
Na 22.99 Na.upf
Bi 208.98 Bi.upf
CELL_PARAMETERS angstrom
-0.8655 -7.4159 5.4713
4.7702 -0.0087 5.5719
-1.7821 2.0371 6.9992
ATOMIC_POSITIONS crystal
I 0.1923 0.3704 0.8268
Na 0.0000 0.0000 0.0000
I 0.4984 0.7396 0.7401
I 0.2045 0.8815 0.3209
Bi 0.5000 0.5000 0.5000
I 0.8077 0.6296 0.1732
I 0.7955 0.1185 0.6791
I 0.5016 0.2604 0.2599
! raw formation energy = -0.38 eV per atom
! size of the total moment = 0.0000 μB per atom

---

! NaBiI2 | Alexandria | PBE | relaxed; values from VASP
&SYSTEM
  ibrav = 0, nat = 4, ntyp = 3
/
ATOMIC_SPECIES
I 126.90 I.upf
Na 22.99 Na.upf
Bi 208.98 Bi.upf
CELL_PARAMETERS angstrom
-4.9493 1.2374 -2.0212
-3.9474 -3.8100 -0.1156
-5.4872 1.5235 6.9201
ATOMIC_POSITIONS crystal
I 0.8840 0.8840 0.3479
I 0.1160 0.1160 0.6521
Na 0.0000 0.0000 0.0000
Bi 0.5000 0.5000 0.5000
! raw formation energy = -0.18 eV per atom
! size of the total moment = 0.0000 μB per atom
! polymorph energy (0 for the lowest one) = 0.359 eV/atom

---

! NaBiI2 | Alexandria | PBE | relaxed; values from VASP
&SYSTEM
  ibrav = 0, nat = 4, ntyp = 3
/
ATOMIC_SPECIES
I 126.90 I.upf
Na 22.99 Na.upf
Bi 208.98 Bi.upf
CELL_PARAMETERS angstrom
-0.4901 1.4199 3.8907
-2.2669 -3.2380 -1.3394
5.4935 -8.0100 3.6160
ATOMIC_POSITIONS crystal
I 0.9823 0.7215 0.3544
Na 0.5841 0.9244 0.5524
I 0.1861 0.1282 0.7501
Bi 0.0841 0.9248 0.0522
! raw formation energy = -0.54 eV per atom
! size of the total moment = 0.0000 μB per atom
! polymorph energy (0 for the lowest one) = 0.000 eV/atom